No. 1
Material: TbPrTmSc
Method: DFT, PBE-GGA
State: relaxed

Computed properties:
* ΔH_f (0 K): 0.06 eV per atom
* space group: R3m

Lattice parameters (Å, degrees): 11.5110 11.5110 11.5110 17.64 17.64 17.64
Atoms (fractional coordinates):
Tb (0.0000, 0.0000, 0.0000)
Pr (0.8292, 0.8292, 0.8292)
Tm (0.5833, 0.5833, 0.5833)
Sc (0.4127, 0.4127, 0.4127)

No. 2
Material: Mg2GeRh
Method: DFT, PBE-GGA
State: relaxed

Computed properties:
* ΔH_f (0 K): -0.35 eV per atom
* space group: P4/mmm

Lattice parameters (Å, degrees): 3.3235 3.3235 6.0152 90.00 90.00 90.00
Atoms (fractional coordinates):
Mg (0.0000, 0.0000, 0.2312)
Mg (0.0000, 0.0000, 0.7688)
Ge (0.5000, 0.5000, 0.5000)
Rh (0.5000, 0.5000, 0.0000)

No. 3
Material: Ac12Nd2Sn5
Method: DFT, PBE-GGA
State: relaxed

Computed properties:
* ΔH_f (0 K): -0.20 eV per atom
* space group: C2/m

Lattice parameters (Å, degrees): 9.9611 9.9611 10.3454 93.49 93.49 51.22
Atoms (fractional coordinates):
Ac (0.0214, 0.0214, 0.3225)
Ac (0.0575, 0.5783, 0.3640)
Ac (0.1085, 0.6075, 0.9059)
Ac (0.3925, 0.8915, 0.0941)
Ac (0.4217, 0.9425, 0.6360)
Ac (0.4724, 0.4724, 0.1846)
Ac (0.5276, 0.5276, 0.8154)
Ac (0.5783, 0.0575, 0.3640)
Ac (0.6075, 0.1085, 0.9059)
Ac (0.8915, 0.3925, 0.0941)
Ac (0.9425, 0.4217, 0.6360)
Ac (0.9786, 0.9786, 0.6775)
Nd (0.3313, 0.6687, 0.5000)
Nd (0.6687, 0.3313, 0.5000)
Sn (0.0000, 0.0000, 0.0000)
Sn (0.2853, 0.2853, 0.1167)
Sn (0.3486, 0.3486, 0.6318)
Sn (0.6514, 0.6514, 0.3682)
Sn (0.7147, 0.7147, 0.8833)

No. 4
Material: Ho2TlN
Method: DFT, PBE-GGA
State: relaxed

Computed properties:
* E_form (uncorrected): -1.01 eV/atom
* space group: R-3m

Lattice parameters (Å, degrees): 8.0890 8.0890 8.0890 25.19 25.19 25.19
Atoms (fractional coordinates):
Ho (0.2229, 0.2229, 0.2229)
Ho (0.7771, 0.7771, 0.7771)
Tl (0.0000, 0.0000, 0.0000)
N (0.5000, 0.5000, 0.5000)

Calculated values (Ha/atom) of E_tot for the records, taken in order: -0.18349; -0.15215; -0.15972; -0.21963.